Record 1
A relaxed structure of TiCo3H, computed with GGA-PBE.

Lattice parameters (Å, degrees): 4.689 6.453 6.819 90.00 90.00 90.00
Fractional positions:
Ti: 0.000 0.000 0.000
Ti: 0.000 0.500 0.000
Ti: 0.500 0.000 0.500
Ti: 0.500 0.500 0.500
Co: 0.032 0.080 0.346
Co: 0.032 0.420 0.346
Co: 0.215 0.250 0.712
Co: 0.285 0.750 0.212
Co: 0.468 0.580 0.846
Co: 0.468 0.920 0.846
Co: 0.532 0.080 0.154
Co: 0.532 0.420 0.154
Co: 0.715 0.250 0.788
Co: 0.785 0.750 0.288
Co: 0.968 0.580 0.654
Co: 0.968 0.920 0.654
H: 0.095 0.750 0.433
H: 0.405 0.250 0.933
H: 0.595 0.750 0.067
H: 0.905 0.250 0.567

Calculated values
ΔE to the lowest computed polymorph in meV per atom: 288.9
DOS at the Fermi energy in states/eV/f.u.: 4.1
Crystal system: orthorhombic

=====

Record 2
A relaxed structure of AlRuPt2, computed with GGA-PBE.

Lattice parameters (Å, degrees): 2.807 2.807 7.470 90.00 90.00 90.00
Fractional positions:
Al: 0.000 0.000 0.000
Ru: 0.500 0.500 0.766
Pt: 0.000 0.000 0.515
Pt: 0.500 0.500 0.230

Calculated values
Formation energy in eV/f.u.: -1.618
DOS at the Fermi energy in states/eV/f.u.: 4.8
Crystal system: tetragonal

=====

Record 3
A relaxed structure of Na3PaAg2S6, computed with GGA-PBE.

Lattice parameters (Å, degrees): 6.734 6.734 7.096 97.95 97.95 122.63
Fractional positions:
Na: 0.000 0.000 0.000
Na: 0.324 0.676 0.000
Na: 0.676 0.324 0.000
Pa: 0.500 0.500 0.500
Ag: 0.157 0.843 0.500
Ag: 0.843 0.157 0.500
S: 0.088 0.408 0.280
S: 0.264 0.264 0.743
S: 0.408 0.088 0.280
S: 0.592 0.912 0.720
S: 0.736 0.736 0.257
S: 0.912 0.592 0.720

Calculated values
DOS at the Fermi energy in states/eV/f.u.: 6.9
Crystal system: monoclinic
Raw formation energy in eV per atom: -0.892

=====

Record 4
A relaxed structure of HfV2H, computed with GGA-PBE.

Lattice parameters (Å, degrees): 5.355 5.355 5.355 120.07 120.07 89.88
Fractional positions:
Hf: 0.375 0.625 0.750
Hf: 0.625 0.375 0.250
V: 0.000 0.000 0.000
V: 0.000 0.000 0.500
V: 0.000 0.500 0.000
V: 0.500 0.000 0.500
H: 0.125 0.875 0.250
H: 0.875 0.125 0.750

Calculated values
ΔE to the lowest computed polymorph in meV per atom: 0.0
DOS at the Fermi energy in states/eV/f.u.: 7.4
Crystal system: tetragonal

=====

Record 5
A relaxed structure of TaIrRh3, computed with GGA-PBE.

Lattice parameters (Å, degrees): 4.654 4.654 4.654 90.00 90.00 90.00
Fractional positions:
Ta: 0.000 0.000 0.000
Ir: 0.500 0.500 0.500
Rh: 0.000 0.500 0.500
Rh: 0.500 0.000 0.500
Rh: 0.500 0.500 0.000

Calculated values
Formation energy in eV/f.u.: 7.821
DOS at the Fermi energy in states/eV/f.u.: 7.7
Crystal system: cubic

=====

Record 6
A relaxed structure of Ac2Zn12Au5, computed with GGA-PBE.

Lattice parameters (Å, degrees): 7.136 7.136 7.136 82.92 82.92 82.92
Fractional positions:
Ac: 0.162 0.162 0.162
Ac: 0.838 0.838 0.838
Zn: 0.154 0.154 0.666
Zn: 0.154 0.666 0.154
Zn: 0.213 0.500 0.787
Zn: 0.213 0.787 0.500
Zn: 0.334 0.846 0.846
Zn: 0.500 0.213 0.787
Zn: 0.500 0.787 0.213
Zn: 0.666 0.154 0.154
Zn: 0.787 0.213 0.500
Zn: 0.787 0.500 0.213
Zn: 0.846 0.334 0.846
Zn: 0.846 0.846 0.334
Au: 0.000 0.500 0.500
Au: 0.397 0.397 0.397
Au: 0.500 0.000 0.500
Au: 0.500 0.500 0.000
Au: 0.603 0.603 0.603

Calculated values
Formation energy in eV/f.u.: -5.516
DOS at the Fermi energy in states/eV/f.u.: 9.0
Crystal system: trigonal

=====

Question: Among the records above, which one has the lowest DOS at the Fermi energy?
Answer: TiCo3H

=====

Question: Look up the DOS at the Fermi energy of the second one.
Answer: 4.8 states/eV/f.u.